No. 1
DFT (GGA-PBE) results for a relaxed structure of Na3SrIn8.

Results
Crystal system: trigonal
Mass density, g/cm3: 5.20

a = 6.2774 Å, b = 6.2774 Å, c = 10.0520 Å
α = 90.00°, β = 90.00°, γ = 120.00°
Space group P3m1 (No. 156)
One atom of each set of equivalent atoms:
Na1 0.0000 0.0000 0.0000 x1
Na2 0.0000 0.0000 0.3576 x1
Na3 0.3333 0.6667 0.8784 x1
Sr1 0.3333 0.6667 0.5001 x1
In1 0.0096 0.5048 0.1825 x3
In2 0.3246 0.1623 0.6867 x3
In3 0.6667 0.3333 0.4307 x1
In4 0.6667 0.3333 0.9395 x1

=====

No. 2
DFT (GGA-PBE) results for a relaxed structure of Na2SrIn4.

Results
Crystal system: monoclinic
Mass density, g/cm3: 4.73

a = 20.330 Å, b = 6.620 Å, c = 6.205 Å
α = 90.00°, β = 94.81°, γ = 90.00°
Space group C2/c (No. 15)
One atom of each set of equivalent atoms:
Na1 0.204 0.097 0.194 x8
Sr1 0.000 0.296 0.250 x4
In1 0.076 0.174 0.781 x8
In2 0.153 0.466 0.514 x8

=====

No. 3
DFT (GGA-PBE) results for a relaxed structure of Na3SrIn8.

Results
Crystal system: trigonal
Mass density, g/cm3: 5.17

a = 6.2713 Å, b = 6.2713 Å, c = 30.4234 Å
α = 90.00°, β = 90.00°, γ = 120.00°
Space group R3m (No. 160, hexagonal axes)
One atom of each set of equivalent atoms:
Na1 0.0000 0.0000 0.0000 x3
Na2 0.0000 0.0000 0.1211 x3
Na3 0.0000 0.0000 0.6278 x3
Sr1 0.0000 0.0000 0.5010 x3
In1 0.0000 0.0000 0.3135 x3
In2 0.0000 0.0000 0.8116 x3
In3 0.0002 0.5001 0.5632 x9
In4 0.1670 0.3339 0.3953 x9

=====

No. 4
DFT (GGA-PBE) results for a relaxed structure of Na4Sr5In.

Results
Crystal system: tetragonal
Mass density, g/cm3: 2.51

a = 4.306 Å, b = 4.306 Å, c = 23.020 Å
α = 90.00°, β = 90.00°, γ = 90.00°
Space group P4/mmm (No. 123)
One atom of each set of equivalent atoms:
Na1 0.000 0.000 0.104 x2
Na2 0.000 0.000 0.314 x2
Sr1 0.500 0.500 0.000 x1
Sr2 0.500 0.500 0.208 x2
Sr3 0.500 0.500 0.418 x2
In1 0.000 0.000 0.500 x1

=====

No. 5
DFT (GGA-PBE) results for a relaxed structure of Na3Sr4In.

Results
Crystal system: tetragonal
Mass density, g/cm3: 2.62

a = 4.204 Å, b = 4.204 Å, c = 19.146 Å
α = 90.00°, β = 90.00°, γ = 90.00°
Space group P4/mmm (No. 123)
One atom of each set of equivalent atoms:
Na1 0.000 0.000 0.000 x1
Na2 0.000 0.000 0.266 x2
Sr1 0.500 0.500 0.133 x2
Sr2 0.500 0.500 0.400 x2
In1 0.000 0.000 0.500 x1

=====

No. 6
DFT (GGA-PBE) results for a relaxed structure of NaSrIn3.

Results
Crystal system: orthorhombic
Mass density, g/cm3: 5.05

a = 3.871 Å, b = 30.367 Å, c = 5.093 Å
α = 90.00°, β = 90.00°, γ = 90.00°
Space group Cmcm (No. 63)
One atom of each set of equivalent atoms:
Na1 0.000 0.216 0.250 x4
Sr1 0.000 0.075 0.750 x4
In1 0.000 0.323 0.250 x4
In2 0.000 0.376 0.750 x4
In3 0.000 0.475 0.750 x4

=====

No. 7
DFT (GGA-PBE) results for a relaxed structure of NaSr6In3.

Results
Crystal system: monoclinic
Mass density, g/cm3: 3.73

a = 11.203 Å, b = 5.764 Å, c = 12.503 Å
α = 90.00°, β = 99.83°, γ = 90.00°
Space group P2_1/m (No. 11)
One atom of each set of equivalent atoms:
Na1 0.039 0.250 0.414 x2
Sr1 0.096 0.750 0.907 x2
Sr2 0.138 0.750 0.210 x2
Sr3 0.216 0.250 0.738 x2
Sr4 0.296 0.750 0.529 x2
Sr5 0.370 0.250 0.314 x2
Sr6 0.443 0.750 0.089 x2
In1 0.219 0.250 0.040 x2
In2 0.374 0.750 0.803 x2
In3 0.470 0.250 0.623 x2

=====

No. 8
DFT (GGA-PBE) results for a relaxed structure of NaSrIn.

Results
Crystal system: tetragonal
Mass density, g/cm3: 3.56

a = 12.799 Å, b = 12.799 Å, c = 5.139 Å
α = 90.00°, β = 90.00°, γ = 90.00°
Space group I4/mmm (No. 139)
One atom of each set of equivalent atoms:
Na1 0.000 0.376 0.000 x8
Sr1 0.000 0.206 0.500 x8
In1 0.205 0.205 0.000 x8

=====

No. 9
DFT (GGA-PBE) results for a relaxed structure of Na3SrIn3.

Results
Crystal system: cubic
Mass density, g/cm3: 2.94

a = 8.269 Å, b = 8.269 Å, c = 8.269 Å
α = 90.00°, β = 90.00°, γ = 90.00°
Space group Pm-3n (No. 223)
One atom of each set of equivalent atoms:
Na1 0.000 0.250 0.500 x6
Sr1 0.000 0.000 0.000 x2
In1 0.000 0.500 0.250 x6

=====

No. 10
DFT (GGA-PBE) results for a relaxed structure of NaSr6In2.

Results
Crystal system: orthorhombic
Mass density, g/cm3: 3.21

a = 10.971 Å, b = 11.373 Å, c = 12.913 Å
α = 90.00°, β = 90.00°, γ = 90.00°
Space group Immm (No. 71)
One atom of each set of equivalent atoms:
Na1 0.000 0.000 0.000 x2
Na2 0.000 0.000 0.500 x2
Sr1 0.000 0.210 0.240 x8
Sr2 0.191 0.500 0.172 x8
Sr3 0.214 0.312 0.500 x8
In1 0.000 0.344 0.000 x4
In2 0.000 0.500 0.381 x4

=====

No. 11
DFT (GGA-PBE) results for a relaxed structure of NaSr4In5.

Results
Crystal system: tetragonal
Mass density, g/cm3: 4.85

a = 4.058 Å, b = 4.058 Å, c = 19.698 Å
α = 90.00°, β = 90.00°, γ = 90.00°
Space group P4/mmm (No. 123)
One atom of each set of equivalent atoms:
Na1 0.000 0.000 0.000 x1
Sr1 0.000 0.000 0.191 x2
Sr2 0.000 0.000 0.398 x2
In1 0.500 0.500 0.083 x2
In2 0.500 0.500 0.296 x2
In3 0.500 0.500 0.500 x1

=====

No. 12
DFT (GGA-PBE) results for a relaxed structure of NaSrIn3.

Results
Crystal system: monoclinic
Mass density, g/cm3: 4.94

a = 6.043 Å, b = 7.245 Å, c = 7.110 Å
α = 90.00°, β = 100.88°, γ = 90.00°
Space group P2_1/m (No. 11)
One atom of each set of equivalent atoms:
Na1 0.076 0.250 0.415 x2
Sr1 0.371 0.750 0.277 x2
In1 0.182 0.047 0.891 x4
In2 0.485 0.750 0.770 x2

=====

No. 13
DFT (GGA-PBE) results for a relaxed structure of NaSrIn6.

Results
Crystal system: orthorhombic
Mass density, g/cm3: 5.74

a = 5.040 Å, b = 6.736 Å, c = 6.811 Å
α = 90.00°, β = 90.00°, γ = 90.00°
Space group Pmm2 (No. 25)
One atom of each set of equivalent atoms:
Na1 0.000 0.000 0.000 x1
Sr1 0.500 0.500 0.789 x1
In1 0.000 0.254 0.540 x2
In2 0.000 0.500 0.134 x1
In3 0.500 0.000 0.669 x1
In4 0.500 0.233 0.248 x2

=====

No. 14
DFT (GGA-PBE) results for a relaxed structure of NaSrIn2.

Results
Crystal system: cubic
Mass density, g/cm3: 4.65

a = 7.861 Å, b = 7.861 Å, c = 7.861 Å
α = 90.00°, β = 90.00°, γ = 90.00°
Space group Fm-3m (No. 225)
One atom of each set of equivalent atoms:
Na1 0.000 0.000 0.000 x4
Sr1 0.000 0.000 0.500 x4
In1 0.250 0.250 0.250 x8

=====

No. 15
DFT (GGA-PBE) results for a relaxed structure of NaSrIn3.

Results
Crystal system: cubic
Mass density, g/cm3: 4.52

a = 5.508 Å, b = 5.508 Å, c = 5.508 Å
α = 90.00°, β = 90.00°, γ = 90.00°
Space group Pm-3m (No. 221)
One atom of each set of equivalent atoms:
Na1 0.000 0.000 0.000 x1
Sr1 0.500 0.500 0.500 x1
In1 0.000 0.000 0.500 x3

=====

No. 16
DFT (GGA-PBE) results for a relaxed structure of Na5Sr6In.

Results
Crystal system: monoclinic
Mass density, g/cm3: 2.46

a = 6.201 Å, b = 8.816 Å, c = 9.817 Å
α = 90.00°, β = 108.16°, γ = 90.00°
Space group P2/m (No. 10)
One atom of each set of equivalent atoms:
Na1 0.000 0.000 0.000 x1
Na2 0.328 0.500 0.653 x2
Na3 0.330 0.000 0.659 x2
Sr1 0.156 0.262 0.313 x4
Sr2 0.500 0.272 0.000 x2
In1 0.000 0.500 0.000 x1

=====

No. 17
DFT (GGA-PBE) results for a relaxed structure of NaSrIn.

Results
Crystal system: hexagonal
Mass density, g/cm3: 3.68

a = 5.5489 Å, b = 5.5489 Å, c = 3.8165 Å
α = 90.00°, β = 90.00°, γ = 120.00°
Space group P-6m2 (No. 187)
One atom of each set of equivalent atoms:
Na1 0.0000 0.0000 0.0000 x1
Sr1 0.6667 0.3333 0.5000 x1
In1 0.3333 0.6667 0.0000 x1

=====

No. 18
DFT (GGA-PBE) results for a relaxed structure of NaSr5In4.

Results
Crystal system: tetragonal
Mass density, g/cm3: 4.26

a = 4.128 Å, b = 4.128 Å, c = 21.037 Å
α = 90.00°, β = 90.00°, γ = 90.00°
Space group P4/mmm (No. 123)
One atom of each set of equivalent atoms:
Na1 0.000 0.000 0.000 x1
Sr1 0.500 0.500 0.124 x2
Sr2 0.500 0.500 0.310 x2
Sr3 0.500 0.500 0.500 x1
In1 0.000 0.000 0.215 x2
In2 0.000 0.000 0.404 x2

=====

No. 19
DFT (GGA-PBE) results for a relaxed structure of Na2Sr3In2.

Results
Crystal system: orthorhombic
Mass density, g/cm3: 3.28

a = 4.128 Å, b = 32.677 Å, c = 4.044 Å
α = 90.00°, β = 90.00°, γ = 90.00°
Space group Cmmm (No. 65)
One atom of each set of equivalent atoms:
Na1 0.000 0.207 0.000 x4
Sr1 0.000 0.379 0.500 x4
Sr2 0.000 0.500 0.500 x2
In1 0.000 0.061 0.000 x4

=====

No. 20
DFT (GGA-PBE) results for a relaxed structure of NaSrIn.

Results
Crystal system: tetragonal
Mass density, g/cm3: 3.70

a = 4.248 Å, b = 4.248 Å, c = 11.216 Å
α = 90.00°, β = 90.00°, γ = 90.00°
Space group I4mm (No. 107)
One atom of each set of equivalent atoms:
Na1 0.000 0.000 0.000 x2
Sr1 0.000 0.000 0.306 x2
In1 0.000 0.000 0.638 x2

=====

Which energy relative to the elements belongs to each record? In order, -19; -18; -17; -7; -9; -27; -24; -7; 30; -19; -34; -24; -18; -23; 12; -5; -17; -34; -22; -17 kJ per mole of atoms.